# BaNpFe2O8, optimized geometry, DFT GGA+U
# final energy = -0.540 Ry/atom
data_BaNpFe2O8
_chemical_formula_sum 'Ba1 Np1 Fe2 O8'
_space_group_name_H-M_alt 'P -3'
_space_group_IT_number 147
_cell_length_a 5.5171
_cell_length_b 5.5171
_cell_length_c 7.7219
_cell_angle_alpha 90.00
_cell_angle_beta 90.00
_cell_angle_gamma 120.00
loop_
_space_group_symop_operation_xyz
'x,y,z'
'-x,-y,-z'
'-y,x-y,z'
'y,-x+y,-z'
'-x+y,-x,z'
'x-y,x,-z'
loop_
_atom_site_label
_atom_site_type_symbol
_atom_site_fract_x
_atom_site_fract_y
_atom_site_fract_z
Ba1 Ba 0.0000 0.0000 0.0000
Np1 Np 0.0000 0.0000 0.5000
Fe1 Fe 0.3333 0.6667 0.7388
O1 O 0.0523 0.3092 0.6621
O2 O 0.3333 0.6667 0.9655